Entry 1:
Below is a relaxed structure of PaI2ClO6, with properties calculated at the PBE-GGA level.

a b c (Å): 5.5675 8.8827 8.8827
angles (deg): 101.99 78.59 78.59
Atoms (fractional coordinates):
I  0.1032  0.4668  0.2834
I  0.3968  0.7166  0.5332
I  0.6032  0.2834  0.4668
I  0.8968  0.5332  0.7166
Cl  0.2500  0.9335  0.0665
Cl  0.7500  0.0665  0.9335
O  0.5007  0.1766  0.6728
O  0.4993  0.8234  0.3272
O  0.2843  0.9125  0.6847
O  0.7843  0.6847  0.9125
O  0.0007  0.6728  0.1766
O  0.9993  0.3272  0.8234
O  0.6339  0.4177  0.3270
O  0.7157  0.0875  0.3153
O  0.8661  0.6730  0.5823
O  0.3661  0.5823  0.6730
O  0.1339  0.3270  0.4177
O  0.2157  0.3153  0.0875
Pa  0.2500  0.1488  0.8512
Pa  0.7500  0.8512  0.1488

Summary:
Formation energy without anion corrections = -113 kJ per mole of atoms
Crystal system = monoclinic
Energy = -111.8 eV/cell
DOS at the Fermi energy = 0.110 states/eV/atom

***

Entry 2:
Below is a relaxed structure of Co2AgPb, with properties calculated at the PBE-GGA level.

a b c (Å): 5.2012 5.2012 4.6030
angles (deg): 70.54 70.54 34.53
Site moments in Bohr magnetons follow the coordinates.
Atoms (fractional coordinates):
Co  0.0318  0.0318  0.0051  1.49
Co  0.7156  0.7156  0.7534  1.62
Pb  0.4822  0.4822  0.5394  -0.03
Ag  0.2705  0.2705  0.2020  -0.02

Summary:
Crystal system = monoclinic
Energy = -18.8 eV/cell
Formation energy from the elements = 1.95 eV/f.u.
DOS at the Fermi energy = 1.411 states/eV/atom

***

Entry 3:
Below is a relaxed structure of CdSe3F, with properties calculated at the PBE-GGA level.

a b c (Å): 5.1471 5.1471 5.1471
angles (deg): 90.00 90.00 90.00
Atoms (fractional coordinates):
Cd  0.0000  0.0000  0.0000
F  0.5000  0.5000  0.5000
Se  0.0000  0.0000  0.5000
Se  0.5000  0.0000  0.0000
Se  0.0000  0.5000  0.0000

Summary:
Formation energy without anion corrections = 57 kJ per mole of atoms
Crystal system = cubic
Energy = -10.3 eV/cell
DOS at the Fermi energy = 1.246 states/eV/atom

***

Entry 4:
Below is a relaxed structure of Re2SiAg, with properties calculated at the PBE-GGA level.

a b c (Å): 2.8873 4.6471 4.5299
angles (deg): 90.00 90.00 90.00
Atoms (fractional coordinates):
Re  0.0000  0.0000  0.0000
Re  0.5000  0.5000  0.0000
Si  0.5000  0.0000  0.5000
Ag  0.0000  0.5000  0.5000

Summary:
Formation energy without anion corrections = 58 kJ per mole of atoms
Crystal system = orthorhombic
Energy = -30.8 eV/cell
DOS at the Fermi energy = 0.663 states/eV/atom

***

Entry 5:
Below is a relaxed structure of MnNbCo2I, with properties calculated at the PBE-GGA level.

a b c (Å): 4.5217 5.1018 4.5217
angles (deg): 90.00 90.00 90.00
Site moments in Bohr magnetons follow the coordinates.
Atoms (fractional coordinates):
Co  0.0000  0.0000  0.5000  0.92
Co  0.5000  0.0000  0.0000  0.79
I  0.0000  0.0000  0.0000  0.01
Mn  0.5000  0.5000  0.5000  4.13
Nb  0.0000  0.5000  0.0000  -0.89

Summary:
Formation energy without anion corrections = 147 kJ per mole of atoms
Crystal system = tetragonal
Energy = -27.4 eV/cell
DOS at the Fermi energy = 0.717 states/eV/atom

***

Entry 6:
Below is a relaxed structure of LaScNF2, with properties calculated at the PBE-GGA level.

a b c (Å): 4.5203 4.5203 5.0052
angles (deg): 90.00 90.00 90.00
Site moments in Bohr magnetons follow the coordinates.
Atoms (fractional coordinates):
Sc  0.5000  0.5000  0.5000  0.78
N  0.0000  0.0000  0.5000  -0.10
F  0.5000  0.0000  0.0000  0.01
F  0.0000  0.5000  0.0000  0.01
La  0.0000  0.0000  0.0000  -0.01

Summary:
Formation energy without anion corrections = -161 kJ per mole of atoms
Crystal system = tetragonal
Energy = -31.7 eV/cell
DOS at the Fermi energy = 0.568 states/eV/atom

***

Entry 7:
Below is a relaxed structure of PmY2TaO8, with properties calculated at the PBE-GGA level.

a b c (Å): 3.7802 5.5285 7.3992
angles (deg): 91.48 86.81 90.08
Site moments in Bohr magnetons follow the coordinates.
Atoms (fractional coordinates):
O  0.0156  0.2317  0.2147  0.09
O  0.4963  0.2592  0.5055  0.09
O  0.0124  0.7533  0.2085  0.33
O  0.4811  0.7870  0.0165  0.37
O  0.5189  0.2130  0.9835  0.37
O  0.9844  0.7683  0.7853  0.09
O  0.9876  0.2467  0.7915  0.33
O  0.5037  0.7408  0.4945  0.09
Y  0.4837  0.5162  0.7460  0.00
Y  0.5163  0.4838  0.2540  0.00
Ta  0.0000  0.0000  0.0000  -0.05
Pm  0.0000  0.0000  0.5000  -0.01

Summary:
Formation energy without anion corrections = -278 kJ per mole of atoms
Crystal system = triclinic
Energy = -103.7 eV/cell
DOS at the Fermi energy = 0.135 states/eV/atom

***

Entry 8:
Below is a relaxed structure of MgCo3Br, with properties calculated at the PBE-GGA level.

a b c (Å): 4.3385 4.3385 4.3385
angles (deg): 90.00 90.00 90.00
Site moments in Bohr magnetons follow the coordinates.
Atoms (fractional coordinates):
Mg  0.5000  0.5000  0.5000  -0.02
Co  0.5000  0.0000  0.0000  0.83
Co  0.0000  0.0000  0.5000  0.60
Co  0.0000  0.5000  0.0000  0.91
Br  0.0000  0.0000  0.0000  0.00

Summary:
Formation energy without anion corrections = 86 kJ per mole of atoms
Crystal system = cubic
Energy = -20.1 eV/cell
DOS at the Fermi energy = 1.174 states/eV/atom

***

Entry 9:
Below is a relaxed structure of Pm6Sn2Rh, with properties calculated at the PBE-GGA level.

a b c (Å): 4.1705 8.5443 8.5458
angles (deg): 119.99 90.00 90.00
Atoms (fractional coordinates):
Pm  0.5000  0.5929  0.0000
Pm  0.5000  0.4074  0.4073
Pm  0.0000  0.2421  0.0000
Pm  0.0000  0.7576  0.7574
Pm  0.5000  0.0001  0.5927
Pm  0.0000  0.0002  0.2426
Rh  0.5000  0.9995  0.0000
Sn  0.0000  0.6667  0.3332
Sn  0.0000  0.3334  0.6668

Summary:
Crystal system = orthorhombic
Energy = -49.0 eV/cell
Formation energy from the elements = -5.11 eV/f.u.
DOS at the Fermi energy = 1.156 states/eV/atom

***

Entry 10:
Below is a relaxed structure of Rb3PaZn2O6, with properties calculated at the PBE-GGA level.

a b c (Å): 6.2622 6.2622 7.4041
angles (deg): 90.00 90.00 120.00
Atoms (fractional coordinates):
O  0.1596  0.3193  0.3172
O  0.1596  0.8404  0.3172
O  0.3193  0.1596  0.6828
O  0.8404  0.6807  0.6828
O  0.6807  0.8404  0.3172
O  0.8404  0.1596  0.6828
Rb  0.0000  0.0000  0.0000
Rb  0.6667  0.3333  0.2671
Rb  0.3333  0.6667  0.7329
Pa  0.0000  0.0000  0.5000
Zn  0.3333  0.6667  0.3042
Zn  0.6667  0.3333  0.6958

Summary:
Formation energy without anion corrections = -198 kJ per mole of atoms
Crystal system = trigonal
Energy = -69.3 eV/cell
DOS at the Fermi energy = 0.000 states/eV/atom

***

Entry 11:
Below is a relaxed structure of Sm3FeB2Pt9, with properties calculated at the PBE-GGA level.

a b c (Å): 5.7818 5.7818 9.2132
angles (deg): 90.00 90.00 120.00
Site moments in Bohr magnetons follow the coordinates.
Atoms (fractional coordinates):
Sm  0.6667  0.3333  0.3978  -0.02
Sm  0.0000  0.0000  0.0000  0.00
Sm  0.3333  0.6667  0.6022  -0.02
Fe  0.0000  0.0000  0.5000  3.03
Pt  0.3309  0.1654  0.7100  0.09
Pt  0.8346  0.1654  0.7100  0.09
Pt  0.5000  0.0000  0.0000  0.04
Pt  0.0000  0.5000  0.0000  0.04
Pt  0.1654  0.8346  0.2900  0.09
Pt  0.5000  0.5000  0.0000  0.04
Pt  0.8346  0.6691  0.7100  0.09
Pt  0.1654  0.3309  0.2900  0.09
Pt  0.6691  0.8346  0.2900  0.09
B  0.3333  0.6667  0.1489  0.01
B  0.6667  0.3333  0.8511  0.01

Summary:
Crystal system = trigonal
Energy = -101.6 eV/cell
Formation energy from the elements = -11.25 eV/f.u.
DOS at the Fermi energy = 0.433 states/eV/atom

***

Entry 12:
Below is a relaxed structure of MnSnP2Au, with properties calculated at the PBE-GGA level.

a b c (Å): 4.9016 4.8262 4.9016
angles (deg): 90.00 90.00 90.00
Site moments in Bohr magnetons follow the coordinates.
Atoms (fractional coordinates):
P  0.5000  0.0000  0.0000  0.04
P  0.0000  0.0000  0.5000  0.03
Mn  0.0000  0.5000  0.0000  -0.13
Sn  0.0000  0.0000  0.0000  -0.01
Au  0.5000  0.5000  0.5000  0.00

Summary:
Crystal system = tetragonal
Energy = -19.0 eV/cell
Formation energy from the elements = 8.27 eV/f.u.
DOS at the Fermi energy = 1.393 states/eV/atom